# CsTlHgSe2

A relaxed structure of CsTlHgSe2 (PBE-GGA, the Alexandria database).

a = 7.8771 Å, b = 6.0591 Å, c = 8.6563 Å
α = 90.00°, β = 93.78°, γ = 90.00°
Closest atoms and distances in Å follow each position.
Space group P2/c (No. 13)
Unique sites:
Cs (0.0000, 0.2337, 0.2500) x2  6 Se 3.70-3.98
Tl (0.5000, 0.4526, 0.2500) x2  2 Se 3.03
Hg (0.5000, 0.0000, 0.0000) x2  2 Se 2.49
Se (0.2593, 0.2368, 0.9008) x4  1 Hg 2.49

Summary:
DOS at the Fermi energy = 0.0 states/eV/f.u.
Total magnetization = 0.000 μB per atom
Formation energy without anion corrections = -589.2 meV/atom

=====

# Rb2AgI4

A relaxed structure of Rb2AgI4 (PBE-GGA, the Alexandria database).

a = 5.7678 Å, b = 5.7678 Å, c = 18.7788 Å
α = 90.00°, β = 90.00°, γ = 90.00°
Closest atoms and distances in Å follow each position.
Space group I4/mmm (No. 139)
Unique sites:
Rb (0.0000, 0.0000, 0.1401) x4  9 I 3.72-4.10
Ag (0.0000, 0.0000, 0.5000) x2  6 I 2.88-3.04
I (0.0000, 0.0000, 0.3382) x4  1 Ag 3.04
I (0.0000, 0.5000, 0.0000) x4  2 Ag 2.88

Summary:
DOS at the Fermi energy = 4.0 states/eV/f.u.
Total magnetization = 0.000 μB per atom
Formation energy without anion corrections = -872.5 meV/atom

=====

# VRe2Mo4

A relaxed structure of VRe2Mo4 (PBE-GGA, the Alexandria database).

a = 13.4339 Å, b = 2.7072 Å, c = 6.8803 Å
α = 90.00°, β = 118.89°, γ = 90.00°
Closest atoms and distances in Å follow each position.
Space group C2/m (No. 12)
Unique sites:
V (0.0000, 0.0000, 0.0000) x2  2 Re 2.59, 6 Mo 2.60-2.87, 2 V 2.71
Re (0.2171, 0.0000, 0.1437) x4  1 V 2.59, 6 Mo 2.66-2.84, 4 Re 2.71-2.87
Mo (0.0724, 0.0000, 0.7105) x4  3 Mo 2.59-2.71, 1 V 2.60, 3 Re 2.66-2.84
Mo (0.1415, 0.5000, 0.4099) x4  8 Mo 2.71-2.97, 3 Re 2.72-2.83, 2 V 2.87

Summary:
DOS at the Fermi energy = 6.4 states/eV/f.u.
Total magnetization = 0.000 μB per atom
Formation energy from the elements = 199 kJ/mol of formula units

=====

# CsTaCl6

A relaxed structure of CsTaCl6 (PBE-GGA, the Alexandria database).

a = 10.0998 Å, b = 10.0998 Å, c = 9.1696 Å
α = 90.00°, β = 90.00°, γ = 120.00°
Closest atoms and distances in Å follow each position.
Space group R-3m (No. 166, hexagonal axes)
Unique sites:
Cs (0.0000, 0.0000, 0.0000) x3  12 Cl 3.74-3.90
Ta (0.0000, 0.0000, 0.5000) x3  6 Cl 2.37
Cl (0.1103, 0.2206, 0.6502) x18  1 Ta 2.37

Summary:
DOS at the Fermi energy = 0.0 states/eV/f.u.
Total magnetization = 0.000 μB per atom
Formation energy without anion corrections = -1574.6 meV/atom